Below is an optimized crystal structure of Ca2CrF, with properties calculated at the PBE with a Hubbard U level.

Properties
VASP energy, eV per atom: -3.89
Total magnetization, μB/cell: 5.349

Cell: 5.303 5.303 5.303 Å, 60.00 60.00 60.00°
Site moments in Bohr magnetons follow the coordinates.
Atoms (fractional coordinates):
Ca (0.750, 0.750, 0.750)  0.05
Ca (0.250, 0.250, 0.250)  0.05
F (0.000, 0.000, 0.000)  0.04
Cr (0.500, 0.500, 0.500)  4.34